Ag3SnCl6 PBE relaxed; DOS(E_F) = 0.86 states/eV/atom; symmetry = P2_1/m, No. 11; crystal system = monoclinic; magnetic moment = 0.0 μB/cell; final energy = -2.926 eV per atom; energy above the lowest structure with this stoichiometry = 35 meV/atom; volume = 255.9 Å³/f.u.; calculated density = 4.25 g cm⁻³
1.0
11.0503 0.0000 0.0000
0.0000 4.0107 0.0000
-4.9274 0.0000 11.5460
Ag Sn Cl
6 2 12
Cartesian
-0.4959 1.0027 1.7241 Ag
-0.8058 1.0027 11.0637 Ag
2.9436 3.0080 3.8848 Ag
3.1792 1.0027 7.6612 Ag
6.9286 3.0080 0.4823 Ag
6.6188 3.0080 9.8219 Ag
-0.8179 1.0027 6.8589 Sn
6.9408 3.0080 4.6871 Sn
-1.4024 3.0080 4.8077 Cl
-3.3828 1.0027 10.9580 Cl
-1.3373 3.0080 8.7102 Cl
1.4186 1.0027 3.2638 Cl
1.7401 3.0080 6.7739 Cl
4.4836 3.0080 1.2818 Cl
1.6392 1.0027 10.2642 Cl
4.3828 1.0027 4.7721 Cl
4.7043 3.0080 8.2822 Cl
7.4602 1.0027 2.8358 Cl
9.5057 3.0080 0.5880 Cl
7.5252 1.0027 6.7383 Cl



Ag2SnCl PBE relaxed; DOS(E_F) = 0.88 states/eV/atom; symmetry = Fm-3m, No. 225; crystal system = cubic; magnetic moment = 0.0 μB/cell; final energy = -2.694 eV per atom; energy above the lowest structure with this stoichiometry = 232 meV/atom; volume = 89.3 Å³/f.u.; calculated density = 6.88 g cm⁻³
1.0
0.0000 3.5479 3.5479
3.5479 0.0000 3.5479
3.5479 3.5479 0.0000
Ag Sn Cl
2 1 1
Cartesian
1.7739 1.7739 1.7739 Ag
5.3218 5.3218 5.3218 Ag
0.0000 0.0000 0.0000 Sn
3.5479 3.5479 3.5479 Cl



Ag2Sn3Cl8 PBE relaxed; DOS(E_F) = 0.00 states/eV/atom; symmetry = C2/m, No. 12; crystal system = monoclinic; magnetic moment = 0.0 μB/cell; final energy = -3.295 eV per atom; volume = 428.4 Å³/f.u.; calculated density = 3.32 g cm⁻³
1.0
6.8874 -4.3136 0.0000
6.8874 4.3136 0.0000
-0.9258 0.0000 7.2094
Ag Sn Cl
2 3 8
Cartesian
2.9734 0.0000 1.9068 Ag
9.8756 0.0000 5.3026 Ag
-0.4629 0.0000 3.6047 Sn
6.8874 2.1266 0.0000 Sn
6.8874 -2.1266 0.0000 Sn
4.6049 2.3695 4.7064 Cl
0.7566 0.0000 6.2394 Cl
8.2441 2.3695 2.5030 Cl
5.3169 0.0000 1.0893 Cl
7.5321 0.0000 6.1201 Cl
4.6049 -2.3695 4.7064 Cl
12.0924 0.0000 0.9700 Cl
8.2441 -2.3695 2.5030 Cl